An optimized crystal structure of Tb5PmIn8, computed with PBE.

Cell and atoms, written as POSCAR:
```
Tb5PmIn8
1.0
-2.3455 -7.3784 -2.0185
3.8137 -0.1980 7.0309
-6.4508 4.7013 0.5485
Pm Tb In
1 5 8
Cartesian
-3.5177 1.5824 3.4222
-6.7879 1.9873 0.6043
-3.5086 -2.6676 3.2660
-4.3982 -1.3385 -0.7350
0.5851 0.4193 2.6391
-0.2540 -5.4890 4.6125
-5.6291 -0.5678 2.1519
-0.2709 -2.5864 3.2557
-3.5802 -0.6649 5.7418
-0.8342 1.5246 5.2905
-2.1758 -0.5214 1.3707
2.2317 -0.8203 5.0322
-3.2312 -4.1205 0.4237
-6.4411 -3.7436 -1.0230
```

## Properties
SG = I-4, No. 82
Formation energy = -352.7 meV/atom
Magnetization = 0.000 μB/f.u.

An optimized crystal structure of K3AgW2S8, computed with PBE.

Cell and atoms, written as POSCAR:
```
K3AgW2S8
1.0
7.1515 0.0000 0.0000
-3.5758 6.1934 0.0000
0.0000 0.0000 9.2376
S K Ag W
8 3 1 2
Cartesian
0.0000 4.1289 9.1322
3.5758 4.1498 6.4157
1.8060 5.1716 2.8219
5.3817 1.0218 6.4157
-1.8060 5.1716 2.8219
1.7698 1.0218 6.4157
3.5758 2.0645 0.1054
0.0000 2.0436 2.8219
0.0000 0.0000 0.0000
0.0000 4.1289 5.9298
3.5758 2.0645 3.3078
0.0000 0.0000 4.6188
0.0000 4.1289 2.0707
3.5758 2.0645 7.1669
```

## Properties
SG = P-3m1, No. 164
Magnetization = 0.000 μB/f.u.
Formation energy from raw total energies = -0.7613 eV/atom

An optimized crystal structure of ZrRe2Tc, computed with PBE.

Cell and atoms, written as POSCAR:
```
ZrRe2Tc
1.0
-3.3479 2.6914 -1.1519
-0.8219 0.1181 2.6650
2.8208 4.2134 1.6460
Tc Zr Re
1 1 2
Cartesian
0.9674 2.1319 2.1695
-0.1854 4.5748 2.6425
-1.1844 2.4031 0.4721
-0.7690 0.1971 2.6956
```

## Properties
Energy above the most stable polymorph in this dataset = 0.1023 eV per atom
SG = Pm, No. 6
Formation energy = 35.6 meV/atom
Magnetization = 0.000 μB/f.u.

An optimized crystal structure of Ti2VAs3, computed with PBE.

Cell and atoms, written as POSCAR:
```
Ti2VAs3
1.0
-0.8472 3.1230 -1.0850
-5.4938 -1.9902 -1.4385
-3.1380 2.2371 8.8896
Ti V As
4 2 6
Cartesian
-5.9973 -1.5324 0.2724
-4.8142 1.7582 3.4522
-7.3746 0.6301 2.2045
-5.1975 0.8509 6.5076
-3.2335 -0.7902 0.2505
-2.9156 1.9365 7.8507
-7.3195 2.2639 6.8641
-5.1231 0.8174 0.9855
-6.3175 -0.1673 4.4515
-3.7315 2.7787 5.5441
-1.7572 1.2518 -0.3926
-2.7628 0.2518 2.8822
```

## Properties
SG = Pmc2_1, No. 26
Formation energy = -634.0 meV/atom
Magnetization = 0.000 μB/f.u.